The following is a meta-GGA SCAN calculation of a PBEsol-optimized structure of Mg2Nb2CrO8, from Alexandria via LeMat-Bulk.

The value obtained for the mass density is 4.838 g/cm3. The electronic total energy is -720.963 eV/cell.

Cell: 18.6948 5.8966 5.1610 Å, 90.00 90.22 90.00°
Space group C2/c (No. 15)
Asymmetric unit:
Mg 0.2280 0.1435 0.2452 x8
Nb 0.1138 0.3410 0.7513 x8
Cr 0.0000 0.1354 0.2500 x4
O 0.0554 0.1212 0.5810 x8
O 0.0657 0.3741 0.0940 x8
O 0.1852 0.4004 0.4517 x8
O 0.1905 0.1437 0.8822 x8